(1)
# Y2TmIO8 GGA-PBE optimized geometry
# Total magnetic moment (μB/cell): 0.00
# Formation energy (no corrections) (eV/atom): -2.35
data_Y2TmIO8
_chemical_formula_sum 'Y4 Tm2 I2 O16'
_cell_length_a 7.034
_cell_length_b 7.182
_cell_length_c 6.784
_cell_angle_alpha 90.00
_cell_angle_beta 90.00
_cell_angle_gamma 90.00
_symmetry_space_group_name_H-M 'C m m m'
_symmetry_Int_Tables_number 65
_symmetry_space_group_name_Hall '-C 2 2'
loop_
_atom_site_label
_atom_site_type_symbol
_atom_site_fract_x
_atom_site_fract_y
_atom_site_fract_z
Y1 Y 0.000 0.000 0.248
Tm1 Tm 0.000 0.500 0.000
I1 I 0.000 0.500 0.500
O1 O 0.000 0.321 0.290
O2 O 0.195 0.000 0.000
O3 O 0.230 0.000 0.500

=====

(2)
# YTm2IO8 GGA-PBE optimized geometry
# Total magnetic moment (μB/cell): 0.00
# Formation energy (no corrections) (eV/atom): -2.38
data_YTm2IO8
_chemical_formula_sum 'Y1 Tm2 I1 O8'
_cell_length_a 4.972
_cell_length_b 6.787
_cell_length_c 4.974
_cell_angle_alpha 90.00
_cell_angle_beta 90.60
_cell_angle_gamma 90.00
_symmetry_space_group_name_H-M 'P 1 2/m 1'
_symmetry_Int_Tables_number 10
loop_
_symmetry_equiv_pos_as_xyz
'x,y,z'
'-x,-y,-z'
'-x,y,-z'
'x,-y,z'
loop_
_atom_site_label
_atom_site_type_symbol
_atom_site_fract_x
_atom_site_fract_y
_atom_site_fract_z
Y1 Y 0.000 0.000 0.000
Tm1 Tm 0.500 0.247 0.500
I1 I 0.000 0.500 0.000
O1 O 0.184 0.292 0.818
O2 O 0.271 0.500 0.273
O3 O 0.310 0.000 0.312

=====

(3)
# U2I5O GGA-PBE optimized geometry
# Total magnetic moment (μB/cell): 20.00
# Formation energy (no corrections) (eV/atom): -1.05
data_U2I5O
_chemical_formula_sum 'U8 I20 O4'
_cell_length_a 3.644
_cell_length_b 16.624
_cell_length_c 21.190
_cell_angle_alpha 90.00
_cell_angle_beta 90.00
_cell_angle_gamma 90.00
_symmetry_space_group_name_H-M 'C m c m'
_symmetry_Int_Tables_number 63
_symmetry_space_group_name_Hall '-C 2c 2'
loop_
_atom_site_label
_atom_site_type_symbol
_atom_site_fract_x
_atom_site_fract_y
_atom_site_fract_z
U1 U 0.000 0.241 0.178
I1 I 0.000 0.120 0.627
I2 I 0.000 0.340 0.577
I3 I 0.000 0.411 0.750
O1 O 0.000 0.234 0.750

=====

(4)
# UIO5 GGA-PBE optimized geometry
# Total magnetic moment (μB/cell): 2.01
# Formation energy (no corrections) (eV/atom): -1.74
data_UIO5
_chemical_formula_sum 'U2 I2 O10'
_cell_length_a 5.744
_cell_length_b 5.877
_cell_length_c 8.113
_cell_angle_alpha 70.80
_cell_angle_beta 70.47
_cell_angle_gamma 77.73
_symmetry_space_group_name_H-M 'P -1'
_symmetry_Int_Tables_number 2
loop_
_symmetry_equiv_pos_as_xyz
'x,y,z'
'-x,-y,-z'
loop_
_atom_site_label
_atom_site_type_symbol
_atom_site_fract_x
_atom_site_fract_y
_atom_site_fract_z
U1 U 0.000 0.000 0.000
U2 U 0.000 0.000 0.500
I1 I 0.467 0.527 0.253
O1 O 0.074 0.924 0.739
O2 O 0.244 0.285 0.381
O3 O 0.268 0.217 0.887
O4 O 0.296 0.680 0.083
O5 O 0.321 0.706 0.419

=====

(5)
# U2I8O GGA-PBE optimized geometry
# Total magnetic moment (μB/cell): 4.00
# Formation energy (no corrections) (eV/atom): -1.03
data_U2I8O
_chemical_formula_sum 'U4 I16 O2'
_cell_length_a 17.281
_cell_length_b 12.381
_cell_length_c 6.119
_cell_angle_alpha 90.00
_cell_angle_beta 110.72
_cell_angle_gamma 90.00
_symmetry_space_group_name_H-M 'C 1 2/m 1'
_symmetry_Int_Tables_number 12
loop_
_symmetry_equiv_pos_as_xyz
'x,y,z'
'-x,-y,-z'
'-x,y,-z'
'x,-y,z'
'x+1/2,y+1/2,z'
'-x+1/2,-y+1/2,-z'
'-x+1/2,y+1/2,-z'
'x+1/2,-y+1/2,z'
loop_
_atom_site_label
_atom_site_type_symbol
_atom_site_fract_x
_atom_site_fract_y
_atom_site_fract_z
U1 U 0.128 0.000 0.127
I1 I 0.130 0.233 0.129
I2 I 0.133 0.000 0.632
I3 I 0.193 0.500 0.694
O1 O 0.000 0.000 0.000

=====

Computed DOS(E_F) (states/eV per cell) in order:
0.0; 0.0; 38.0; 5.5; 9.7
Computed V (Å³/atom) in order:
14.3; 14.0; 40.1; 17.3; 55.7